# 1
SrVH: relaxed, PBE.

Geometry as POSCAR:
```
SrVH
1.0
-4.258 0.241 -0.848
0.706 -3.434 -4.513
-1.147 -2.267 5.117
Sr H V
2 2 2
direct
0.068 0.038 0.084
0.568 0.371 0.752
0.069 0.549 0.578
0.569 0.861 0.259
0.819 0.705 0.418
0.319 0.705 0.418
```

Calculated values
Distance to the lowest polymorph of the same formula   0.042 eV per atom



# 2
ScSe2Cl: relaxed, PBE.

Geometry as POSCAR:
```
ScSe2Cl
1.0
2.332 0.000 7.742
-1.166 2.019 7.742
-1.166 -2.019 7.742
Cl Se Sc
1 2 1
direct
0.000 0.000 0.000
0.106 0.106 0.106
0.894 0.894 0.894
0.500 0.500 0.500
```

Calculated values
Distance to the lowest polymorph of the same formula   0.276 eV per atom



# 3
SeS2Br2: relaxed, PBE.

Geometry as POSCAR:
```
SeS2Br2
1.0
5.650 0.000 0.000
0.000 5.650 0.000
2.825 2.825 4.242
Se S Br
1 2 2
direct
0.000 0.000 0.000
0.391 0.391 0.219
0.609 0.609 0.781
0.250 0.750 0.500
0.750 0.250 0.500
```

Calculated values
Distance to the lowest polymorph of the same formula   0.520 eV per atom



# 4
ZnBS2: relaxed, PBE.

Geometry as POSCAR:
```
ZnBS2
1.0
-6.182 3.014 2.155
-4.050 5.164 2.980
-5.123 5.070 0.033
S Zn B
2 1 1
direct
0.112 0.112 0.112
0.888 0.888 0.888
0.000 0.000 0.000
0.500 0.500 0.500
```

Calculated values
Distance to the lowest polymorph of the same formula   0.364 eV per atom



# 5
Li4Pd3Au2: relaxed, PBE.

Geometry as POSCAR:
```
Li4Pd3Au2
1.0
4.080 0.000 0.000
0.000 5.703 0.330
-2.040 -2.382 5.658
Li Pd Au
4 3 2
direct
0.545 0.321 0.090
0.455 0.679 0.910
0.226 0.320 0.452
0.774 0.680 0.548
0.000 0.000 0.000
0.111 0.641 0.223
0.889 0.359 0.777
0.335 0.991 0.670
0.665 0.009 0.330
```

Calculated values
Distance to the lowest polymorph of the same formula   0.046 eV per atom



# 6
CePm8Y4: relaxed, PBE.

Geometry as POSCAR:
```
CePm8Y4
1.0
-1.020 -10.098 -6.095
10.721 4.163 2.806
-2.988 3.365 6.424
Pm Y Ce
8 4 1
direct
0.506 0.753 0.259
0.494 0.247 0.741
0.164 0.331 0.998
0.164 0.833 0.998
0.836 0.669 0.002
0.334 0.167 0.002
0.666 0.833 0.998
0.836 0.167 0.002
0.000 0.500 0.000
0.500 0.000 0.000
0.500 0.500 0.000
0.000 0.000 0.000
0.000 0.500 0.500
```

Calculated values
Energy   -4.93 eV per atom



# 7
LuZrRuRh: relaxed, PBE.

Geometry as POSCAR:
```
LuZrRuRh
1.0
4.686 0.000 0.000
2.343 4.058 0.000
2.343 1.353 3.826
Ru Rh Zr Lu
1 1 1 1
direct
0.750 0.750 0.750
0.250 0.250 0.250
0.000 0.000 0.000
0.500 0.500 0.500
```

Calculated values
Energy   -8.19 eV per atom



# 8
PrSm6Dy3Y2: relaxed, PBE.

Geometry as POSCAR:
```
PrSm6Dy3Y2
1.0
-1.296 3.714 4.853
-4.646 -2.489 -3.354
1.843 -9.757 6.623
Sm Dy Y Pr
6 3 2 1
direct
0.916 0.582 0.748
0.418 0.084 0.252
0.084 0.418 0.252
0.249 0.249 0.748
0.582 0.916 0.748
0.751 0.751 0.252
0.167 0.833 0.500
0.500 0.500 0.500
0.833 0.167 0.500
0.333 0.667 0.000
0.667 0.333 0.000
0.000 0.000 0.000
```

Calculated values
Energy   -4.97 eV per atom



# 9
InGeB2Cl: relaxed, PBE.

Geometry as POSCAR:
```
InGeB2Cl
1.0
4.236 0.000 0.000
0.000 5.504 0.000
0.000 0.000 4.236
Ge Cl B In
1 1 2 1
direct
0.000 0.000 0.000
0.000 0.500 0.000
0.000 0.000 0.500
0.500 0.000 0.000
0.500 0.500 0.500
```

Calculated values
Energy   -3.42 eV per atom



# 10
Nd2Mg3Ag2: relaxed, PBE.

Geometry as POSCAR:
```
Nd2Mg3Ag2
1.0
4.437 0.000 0.000
-2.218 5.376 0.172
0.000 -1.013 7.458
Nd Mg Ag
2 3 2
direct
0.625 0.250 0.345
0.375 0.750 0.655
0.000 0.000 0.000
0.316 0.631 0.132
0.684 0.369 0.868
0.912 0.824 0.343
0.088 0.176 0.657
```

Calculated values
Distance to the lowest polymorph of the same formula   0.051 eV per atom



Number 1: M_tot 0.0 μB per formula unit. Number 2: M_tot 0.0 μB per formula unit. Number 3: M_tot 2.0 μB per formula unit. Number 4: M_tot 0.0 μB per formula unit. Number 5: M_tot 0.0 μB per formula unit. Number 6: M_tot 1.2 μB per formula unit. Number 7: M_tot 0.0 μB per formula unit. Number 8: M_tot 0.0 μB per formula unit. Number 9: M_tot 0.0 μB per formula unit. Number 10: M_tot 0.0 μB per formula unit.